Record 1
A plane-wave DFT calculation with PBE was carried out for an optimized crystal structure of LaHgP2.

The structure in POSCAR format:
```
LaHgP2
1.0
-1.815 -2.441 2.660
2.843 0.869 2.737
-3.748 5.223 2.234
Hg La P
1 1 2
Direct
0.500 0.500 0.250 Hg
0.500 0.500 0.750 La
0.000 0.000 0.909 P
0.000 0.000 0.591 P
```

## Properties
* spin magnetization: 0.00 μB/cell
* ΔE_f: -0.62 eV per atom
* space-group type: P4/mmm (123)

Record 2
A plane-wave DFT calculation with PBE was carried out for an optimized crystal structure of Sm3GeRh3.

The structure in POSCAR format:
```
Sm3GeRh3
1.0
-3.718 -0.843 1.500
0.649 -2.242 -5.248
4.853 -11.555 5.536
Ge Rh Sm
2 6 6
Direct
0.500 0.000 0.000 Ge
0.500 0.000 0.500 Ge
0.924 0.849 0.911 Rh
0.076 0.151 0.411 Rh
0.924 0.849 0.589 Rh
0.762 0.525 0.750 Rh
0.076 0.151 0.089 Rh
0.238 0.475 0.250 Rh
0.210 0.419 0.894 Sm
0.514 0.028 0.250 Sm
0.210 0.419 0.606 Sm
0.790 0.581 0.106 Sm
0.790 0.581 0.394 Sm
0.486 0.972 0.750 Sm
```

## Properties
* spin magnetization: 0.00 μB/cell
* ΔE_f: -0.78 eV per atom
* space-group type: Cmcm (63)